A | Computed, not measured: an optimized crystal structure of Cs2Rb3CuSb2 at the GGA-PBE level of DFT.

Values from the calculation:
V (A^3/atom): 42.69
Crystal system: trigonal

Cell: 10.4121 10.4121 10.4121 Å, 35.58 35.58 35.58°
With the nearest neighbours (Å) after each atom.
Element x y z (fractional)
Rb 0.5000 0.5000 0.5000  6 Rb 3.94, 2 Cs 4.07, 6 Sb 4.35
Cs 0.6393 0.6393 0.6393  3 Cu 3.76, 3 Cs 4.01, 3 Sb 4.06, 1 Rb 4.07
Cs 0.3607 0.3607 0.3607  3 Cu 3.76, 3 Cs 4.01, 3 Sb 4.06, 1 Rb 4.07
Rb 0.7842 0.7842 0.7842  4 Sb 3.77-3.78, 3 Rb 3.94
Sb 0.0868 0.0868 0.0868  1 Cu 2.54
Rb 0.2158 0.2158 0.2158  4 Sb 3.77-3.78, 3 Rb 3.94
Sb 0.9132 0.9132 0.9132  1 Cu 2.54
Cu 0.0000 0.0000 0.0000  2 Sb 2.54



B | Computed, not measured: an optimized crystal structure of Cs2Rb3CuSb2 at the GGA-PBE level of DFT.

Values from the calculation:
V (A^3/atom): 43.68
Crystal system: trigonal

Cell: 10.5658 10.5658 10.5658 Å, 35.16 35.16 35.16°
With the nearest neighbours (Å) after each atom.
Element x y z (fractional)
Rb 0.6391 0.6391 0.6391  3 Cu 3.78, 4 Rb 4.03-4.13, 3 Sb 4.06
Sb 0.9154 0.9154 0.9154  1 Cu 2.51
Cs 0.2162 0.2162 0.2162  4 Sb 3.81-3.91, 3 Rb 3.97
Cs 0.7838 0.7838 0.7838  4 Sb 3.81-3.91, 3 Rb 3.97
Sb 0.0846 0.0846 0.0846  1 Cu 2.51
Rb 0.5000 0.5000 0.5000  6 Cs 3.97, 2 Rb 4.13, 6 Sb 4.42
Cu 0.0000 0.0000 0.0000  2 Sb 2.51
Rb 0.3609 0.3609 0.3609  3 Cu 3.78, 4 Rb 4.03-4.13, 3 Sb 4.06



Which of them is the most stable? Correct choice: A.



A | Computed, not measured: an optimized crystal structure of CsTm2CuSeS3 at the GGA-PBE level of DFT.

Values from the calculation:
V (A^3/atom): 24.57
Total moment (μB/cell): 0.00
Crystal system: orthorhombic

Cell: 7.3115 7.3115 13.9447 Å, 90.00 90.00 148.18°
With the nearest neighbours (Å) after each atom.
Element x y z (fractional)
Se 0.5768 0.4232 0.2500  2 Cu 2.42
S 0.2532 0.7468 0.1022  1 Cu 2.34
Cs 0.8864 0.1136 0.2500  2 Se 3.34, 4 S 3.43, 2 Cu 3.60
S 0.7468 0.2532 0.8978  1 Cu 2.34
Cu 0.8264 0.1736 0.7500  2 S 2.34, 2 Se 2.42
S 0.7468 0.2532 0.6022  1 Cu 2.34
Se 0.4232 0.5768 0.7500  2 Cu 2.42
S 0.0000 0.0000 0.5000  4 Tm 2.86
Tm 0.6339 0.3661 0.4426  5 S 2.69-2.86, 1 Se 2.80
S 0.2532 0.7468 0.3978  1 Cu 2.34
Tm 0.3661 0.6339 0.9426  5 S 2.69-2.86, 1 Se 2.80
Cs 0.1136 0.8864 0.7500  2 Se 3.34, 4 S 3.43, 2 Cu 3.60
Tm 0.3661 0.6339 0.5574  5 S 2.69-2.86, 1 Se 2.80
Tm 0.6339 0.3661 0.0574  5 S 2.69-2.86, 1 Se 2.80
Cu 0.1736 0.8264 0.2500  2 S 2.34, 2 Se 2.42
S 0.0000 0.0000 0.0000  4 Tm 2.86



B | Computed, not measured: an optimized crystal structure of CsTm2CuSeS3 at the GGA-PBE level of DFT.

Values from the calculation:
V (A^3/atom): 24.53
Total moment (μB/cell): 0.00
Crystal system: orthorhombic

Cell: 7.3552 7.3552 13.7783 Å, 90.00 90.00 148.23°
With the nearest neighbours (Å) after each atom.
Element x y z (fractional)
Tm 0.6390 0.3610 0.5638  4 S 2.67-2.75, 2 Se 2.95
S 0.4161 0.5839 0.2500  2 Cu 2.34
Cu 0.8323 0.1677 0.2500  4 S 2.34-2.36
Cs 0.1050 0.8950 0.2500  6 S 3.35-3.46
Tm 0.6390 0.3610 0.9362  4 S 2.67-2.75, 2 Se 2.95
S 0.2560 0.7440 0.8955  1 Cu 2.36
S 0.5839 0.4161 0.7500  2 Cu 2.34
Se 0.0000 0.0000 0.5000  4 Tm 2.95
S 0.7440 0.2560 0.3955  1 Cu 2.36
S 0.7440 0.2560 0.1045  1 Cu 2.36
Tm 0.3610 0.6390 0.4362  4 S 2.67-2.75, 2 Se 2.95
Cs 0.8950 0.1050 0.7500  6 S 3.35-3.46
Tm 0.3610 0.6390 0.0638  4 S 2.67-2.75, 2 Se 2.95
Se 0.0000 0.0000 0.0000  4 Tm 2.95
Cu 0.1677 0.8323 0.7500  4 S 2.34-2.36
S 0.2560 0.7440 0.6045  1 Cu 2.36



Which of them is the most stable? Correct choice: B.



A | Computed, not measured: an optimized crystal structure of CsCu3SnS4 at the GGA-PBE level of DFT.

Values from the calculation:
V (A^3/atom): 24.42
Crystal system: monoclinic

Cell: 5.8160 7.7081 10.1118 Å, 90.00 104.11 90.00°
With the nearest neighbours (Å) after each atom.
Element x y z (fractional)
S 0.2000 0.7500 0.9043  1 Cu 2.25, 1 Sn 2.38
Cu 0.3124 0.9234 0.5211  3 S 2.27-2.44
S 0.6211 0.0052 0.7012  3 Cu 2.31-2.44, 1 Sn 2.48
S 0.8000 0.2500 0.0957  1 Cu 2.25, 1 Sn 2.38
Cs 0.2034 0.2500 0.8740  9 S 3.52-3.90, 1 Cu 3.90
S 0.0125 0.2500 0.5156  2 Cu 2.27, 1 Sn 2.46
Cu 0.6876 0.4234 0.4789  3 S 2.27-2.44
Sn 0.1188 0.2500 0.2950  4 S 2.38-2.48
S 0.3789 0.5052 0.2988  3 Cu 2.31-2.44, 1 Sn 2.48
Cu 0.3124 0.5766 0.5211  3 S 2.27-2.44
Cu 0.4205 0.7500 0.7500  3 S 2.25-2.40
S 0.9875 0.7500 0.4844  2 Cu 2.27, 1 Sn 2.46
S 0.6211 0.4948 0.7012  3 Cu 2.31-2.44, 1 Sn 2.48
Cu 0.6876 0.0766 0.4789  3 S 2.27-2.44
S 0.3789 0.9948 0.2988  3 Cu 2.31-2.44, 1 Sn 2.48
Cs 0.7966 0.7500 0.1260  9 S 3.52-3.90, 1 Cu 3.90
Cu 0.5795 0.2500 0.2500  3 S 2.25-2.40
Sn 0.8812 0.7500 0.7050  4 S 2.38-2.48



B | Computed, not measured: an optimized crystal structure of CsCu3SnS4 at the GGA-PBE level of DFT.

Values from the calculation:
V (A^3/atom): 26.87
Crystal system: cubic

Cell: 6.2301 6.2301 6.2301 Å, 90.00 90.00 90.00°
With the nearest neighbours (Å) after each atom.
Element x y z (fractional)
Cs 0.0000 0.0000 0.0000  4 S 3.04
S 0.7179 0.7179 0.2821  1 Sn 2.35, 3 Cu 2.60
S 0.2821 0.7179 0.7179  1 Sn 2.35, 3 Cu 2.60
Cu 0.5000 0.0000 0.5000  4 S 2.60
Sn 0.5000 0.5000 0.5000  4 S 2.35
Cu 0.5000 0.5000 0.0000  4 S 2.60
S 0.2821 0.2821 0.2821  1 Sn 2.35, 3 Cu 2.60
S 0.7179 0.2821 0.7179  1 Sn 2.35, 3 Cu 2.60
Cu 0.0000 0.5000 0.5000  4 S 2.60



Which of them is the most stable? Correct choice: A.



A | Computed, not measured: an optimized crystal structure of CsCuTcS3 at the GGA-PBE level of DFT.

Values from the calculation:
V (A^3/atom): 22.54
Total moment (μB/cell): 5.04
Crystal system: orthorhombic

Cell: 8.0002 8.0002 9.4821 Å, 90.00 90.00 26.46°
With the nearest neighbours (Å) after each atom.
Element x y z (fractional)
S 0.3956 0.3956 0.4573  1 Cu 2.26, 2 Tc 2.48
Cs 0.7484 0.7484 0.2500  8 S 3.50-3.57, 2 Cs 3.66, 2 Cu 3.87
S 0.6044 0.6044 0.9573  1 Cu 2.26, 2 Tc 2.48
Cu 0.5326 0.5326 0.7500  4 S 2.26-2.30
Cs 0.2516 0.2516 0.7500  8 S 3.50-3.57, 2 Cs 3.66, 2 Cu 3.87
S 0.0570 0.0570 0.2500  2 Cu 2.30, 2 Tc 2.53
S 0.3956 0.3956 0.0427  1 Cu 2.26, 2 Tc 2.48
Cu 0.4674 0.4674 0.2500  4 S 2.26-2.30
S 0.9430 0.9430 0.7500  2 Cu 2.30, 2 Tc 2.53
Tc 0.0000 0.0000 0.0000  6 S 2.48-2.53
Tc 0.0000 0.0000 0.5000  6 S 2.48-2.53
S 0.6044 0.6044 0.5427  1 Cu 2.26, 2 Tc 2.48



B | Computed, not measured: an optimized crystal structure of CsCuTcS3 at the GGA-PBE level of DFT.

Values from the calculation:
V (A^3/atom): 22.41
Total moment (μB/cell): 0.00
Crystal system: monoclinic

Cell: 8.2098 3.7100 9.6746 Å, 90.00 114.13 90.00°
With the nearest neighbours (Å) after each atom.
Element x y z (fractional)
S 0.7739 0.2500 0.6465  1 Cu 2.24, 2 Tc 2.44
S 0.1304 0.2500 0.6117  3 Tc 2.42-2.47
S 0.8380 0.2500 0.0683  3 Cu 2.36-2.38, 1 Tc 2.39
S 0.8696 0.7500 0.3883  3 Tc 2.42-2.47
Cu 0.9698 0.2500 0.8899  4 S 2.24-2.38
Cs 0.4910 0.2500 0.2273  8 S 3.40-3.76, 2 Cs 3.71
S 0.1620 0.7500 0.9317  3 Cu 2.36-2.38, 1 Tc 2.39
S 0.2261 0.7500 0.3535  1 Cu 2.24, 2 Tc 2.44
Tc 0.9764 0.7500 0.6665  6 S 2.39-2.47
Cu 0.0302 0.7500 0.1101  4 S 2.24-2.38
Tc 0.0236 0.2500 0.3335  6 S 2.39-2.47
Cs 0.5090 0.7500 0.7727  8 S 3.40-3.76, 2 Cs 3.71



Which of them is the most stable? Correct choice: B.



A | Computed, not measured: an optimized crystal structure of CsCuSiSe3 at the GGA-PBE level of DFT.

Values from the calculation:
V (A^3/atom): 26.44
Crystal system: monoclinic

Cell: 9.1410 3.8502 10.0266 Å, 90.00 115.95 90.00°
With the nearest neighbours (Å) after each atom.
Element x y z (fractional)
Se 0.4702 0.7500 0.1304  3 Si 2.45-2.59
Cs 0.2306 0.2500 0.2759  7 Se 3.64-3.96, 2 Cs 3.85, 3 Cu 4.01-4.02
Cs 0.7694 0.7500 0.7241  7 Se 3.64-3.96, 2 Cs 3.85, 3 Cu 4.01-4.02
Cu 0.9370 0.7500 0.4156  4 Se 2.46-2.49, 2 Cu 2.49
Se 0.1476 0.2500 0.8540  1 Cu 2.46, 2 Si 2.56
Si 0.3347 0.7500 0.8589  6 Se 2.45-2.59
Se 0.8524 0.7500 0.1460  1 Cu 2.46, 2 Si 2.56
Cu 0.0630 0.2500 0.5844  4 Se 2.46-2.49, 2 Cu 2.49
Se 0.2336 0.7500 0.5847  3 Cu 2.48-2.49, 1 Si 2.49
Si 0.6653 0.2500 0.1411  6 Se 2.45-2.59
Se 0.7664 0.2500 0.4153  3 Cu 2.48-2.49, 1 Si 2.49
Se 0.5298 0.2500 0.8696  3 Si 2.45-2.59



B | Computed, not measured: an optimized crystal structure of CsCuSiSe3 at the GGA-PBE level of DFT.

Values from the calculation:
V (A^3/atom): 25.78
Crystal system: orthorhombic

Cell: 8.3193 8.3193 10.3132 Å, 90.00 90.00 154.32°
With the nearest neighbours (Å) after each atom.
Element x y z (fractional)
Se 0.6066 0.3934 0.0358  1 Cu 2.39, 2 Si 2.56
Si 0.0000 0.0000 0.5000  6 Se 2.56-2.69
Se 0.9529 0.0471 0.2500  2 Cu 2.43, 2 Si 2.69
Cu 0.4498 0.5502 0.7500  4 Se 2.39-2.43
Se 0.0471 0.9529 0.7500  2 Cu 2.43, 2 Si 2.69
Se 0.3934 0.6066 0.5358  1 Cu 2.39, 2 Si 2.56
Cs 0.7445 0.2555 0.7500  2 Cs 3.70, 8 Se 3.70-3.76, 2 Cu 3.81
Se 0.3934 0.6066 0.9642  1 Cu 2.39, 2 Si 2.56
Cu 0.5502 0.4498 0.2500  4 Se 2.39-2.43
Si 0.0000 0.0000 0.0000  6 Se 2.56-2.69
Cs 0.2555 0.7445 0.2500  2 Cs 3.70, 8 Se 3.70-3.76, 2 Cu 3.81
Se 0.6066 0.3934 0.4642  1 Cu 2.39, 2 Si 2.56



Which of them is the most stable? Correct choice: A.